Entry from Alexandria via LeMat-Bulk: SmY2Tm3Se6 after structural relaxation (PBE).

abc: 9.114 9.114 8.192
angles: 103.85 103.85 25.63
Element x y z (fractional)
Sm (0.000, 0.000, 0.000)
Y (0.335, 0.335, 0.670)
Y (0.665, 0.665, 0.330)
Tm (0.000, 0.000, 0.500)
Tm (0.335, 0.335, 0.166)
Tm (0.665, 0.665, 0.834)
Se (0.166, 0.166, 0.587)
Se (0.171, 0.171, 0.080)
Se (0.499, 0.499, 0.260)
Se (0.501, 0.501, 0.740)
Se (0.829, 0.829, 0.920)
Se (0.834, 0.834, 0.413)

Properties
The energy relative to the elements, uncorrected comes out at -1.72 eV per atom. The calculation puts the volume at 23.78 Å³/atom. The calculation puts the total magnetization at 0.0 μB/f.u.